1.
Entry from Alexandria: a relaxed structure of AcAlGeO (GGA-PBE). Values from VASP.

Volume ... 169.7 Å³ per cell
E ... -6.043 eV per atom
ΔE_f (raw) ... -162.8 kJ per mole of atoms
Magnetic moment ... 0.00 μB/f.u.
ρ ... 6.70 g cm⁻³

```
&SYSTEM
  ibrav = 0, nat = 8, ntyp = 4
/
ATOMIC_SPECIES
Ac 227.00 Ac.upf
Al 26.98 Al.upf
Ge 72.64 Ge.upf
O 16.00 O.upf
CELL_PARAMETERS angstrom
4.209 0.000 0.000
0.000 4.209 0.000
0.000 0.000 9.578
ATOMIC_POSITIONS angstrom
Ac 1.052 1.052 1.293
Ac 3.157 3.157 8.285
Al 1.052 3.157 4.789
Al 3.157 1.052 4.789
Ge 1.052 1.052 6.361
Ge 3.157 3.157 3.217
O 1.052 3.157 0.000
O 3.157 1.052 0.000
```

=====

2.
Entry from Alexandria: a relaxed structure of AcAl2GeO8 (GGA-PBE). Values from VASP.

Volume ... 175.8 Å³ per cell
E ... -6.675 eV per atom
ΔE_f (raw) ... -194.8 kJ per mole of atoms
Magnetic moment ... 3.00 μB/f.u.
ρ ... 4.55 g cm⁻³

```
&SYSTEM
  ibrav = 0, nat = 12, ntyp = 4
/
ATOMIC_SPECIES
Ac 227.00 Ac.upf
Al 26.98 Al.upf
Ge 72.64 Ge.upf
O 16.00 O.upf
CELL_PARAMETERS angstrom
5.461 0.000 0.000
-2.730 4.729 0.000
0.000 0.000 6.807
ATOMIC_POSITIONS angstrom
Ac 0.000 0.000 0.000
Al 0.000 3.153 4.966
Al 2.730 1.576 1.841
Ge 0.000 0.000 3.404
O -1.473 3.996 4.588
O 0.006 1.456 4.588
O 1.264 0.723 2.219
O 0.000 3.153 6.764
O 2.730 1.576 0.043
O 1.467 4.007 4.588
O 2.724 3.274 2.219
O 4.203 0.733 2.219
```

=====

3.
Entry from Alexandria: a relaxed structure of AcAl2GeOs2 (GGA-PBE). Values from VASP.

Volume ... 126.9 Å³ per cell
E ... -6.455 eV per atom
Magnetic moment ... 0.00 μB/f.u.
ρ ... 9.61 g cm⁻³
Energy of formation from the pure elements ... -0.01 eV per atom

```
&SYSTEM
  ibrav = 0, nat = 6, ntyp = 4
/
ATOMIC_SPECIES
Ac 227.00 Ac.upf
Al 26.98 Al.upf
Ge 72.64 Ge.upf
Os 190.23 Os.upf
CELL_PARAMETERS angstrom
4.603 0.000 0.000
0.000 4.603 0.000
0.000 0.000 5.987
ATOMIC_POSITIONS angstrom
Ac 0.000 0.000 0.000
Al 2.302 2.302 1.504
Al 2.302 2.302 4.483
Ge 0.000 0.000 2.993
Os 0.000 2.302 2.993
Os 2.302 0.000 2.993
```

=====

4.
Entry from Alexandria: a relaxed structure of AcPaAl2Ge2 (GGA-PBE). Values from VASP.

Volume ... 139.0 Å³ per cell
E ... -5.476 eV per atom
Magnetic moment ... 0.00 μB/f.u.
ρ ... 7.85 g cm⁻³
Energy of formation from the pure elements ... -0.42 eV per atom

```
&SYSTEM
  ibrav = 0, nat = 6, ntyp = 4
/
ATOMIC_SPECIES
Ac 227.00 Ac.upf
Pa 231.04 Pa.upf
Al 26.98 Al.upf
Ge 72.64 Ge.upf
CELL_PARAMETERS angstrom
4.296 0.000 0.000
-2.148 3.720 0.000
0.000 0.000 8.700
ATOMIC_POSITIONS angstrom
Ac 0.000 0.000 0.000
Pa 0.000 0.000 4.350
Al 0.000 2.480 6.282
Al 2.148 1.240 2.417
Ge 0.000 2.480 2.324
Ge 2.148 1.240 6.376
```

=====

5.
Entry from Alexandria: a relaxed structure of AcAlGePb (GGA-PBE). Values from VASP.

Volume ... 111.5 Å³ per cell
E ... -4.128 eV per atom
Magnetic moment ... 0.00 μB/f.u.
ρ ... 7.95 g cm⁻³
Energy of formation from the pure elements ... -0.08 eV per atom

```
&SYSTEM
  ibrav = 0, nat = 4, ntyp = 4
/
ATOMIC_SPECIES
Ac 227.00 Ac.upf
Al 26.98 Al.upf
Ge 72.64 Ge.upf
Pb 207.20 Pb.upf
CELL_PARAMETERS angstrom
0.000 3.820 3.820
3.820 0.000 3.820
3.820 3.820 0.000
ATOMIC_POSITIONS angstrom
Ac 0.000 0.000 0.000
Al 5.730 5.730 5.730
Ge 1.910 1.910 1.910
Pb 3.820 3.820 3.820
```

=====

6.
Entry from Alexandria: a relaxed structure of AcAlGe2Pd (GGA-PBE). Values from VASP.

Volume ... 104.9 Å³ per cell
E ... -5.108 eV per atom
Magnetic moment ... 0.00 μB/f.u.
ρ ... 8.00 g cm⁻³
Energy of formation from the pure elements ... -0.65 eV per atom

```
&SYSTEM
  ibrav = 0, nat = 5, ntyp = 4
/
ATOMIC_SPECIES
Ac 227.00 Ac.upf
Al 26.98 Al.upf
Ge 72.64 Ge.upf
Pd 106.42 Pd.upf
CELL_PARAMETERS angstrom
-2.201 2.201 5.416
2.201 -2.201 5.416
2.201 2.201 -5.416
ATOMIC_POSITIONS angstrom
Ac 0.000 0.000 0.000
Al 0.000 2.201 2.708
Ge 0.000 0.000 4.105
Ge 0.000 0.000 6.726
Pd 2.201 0.000 2.708
```

=====

7.
Entry from Alexandria: a relaxed structure of Ac2Al4Ge3Pd (GGA-PBE). Values from VASP.

Volume ... 218.7 Å³ per cell
E ... -4.715 eV per atom
Magnetic moment ... 0.00 μB/f.u.
ρ ... 6.73 g cm⁻³
Energy of formation from the pure elements ... -0.49 eV per atom

```
&SYSTEM
  ibrav = 0, nat = 10, ntyp = 4
/
ATOMIC_SPECIES
Ac 227.00 Ac.upf
Al 26.98 Al.upf
Ge 72.64 Ge.upf
Pd 106.42 Pd.upf
CELL_PARAMETERS angstrom
4.650 0.000 0.000
0.000 4.650 0.000
0.000 0.000 10.115
ATOMIC_POSITIONS angstrom
Ac 0.000 2.325 2.451
Ac 2.325 0.000 7.664
Al 0.000 0.000 5.058
Al 0.000 2.325 8.953
Al 2.325 0.000 1.162
Al 2.325 2.325 5.058
Ge 0.000 0.000 0.000
Ge 0.000 2.325 6.324
Ge 2.325 0.000 3.791
Pd 2.325 2.325 0.000
```

=====

8.
Entry from Alexandria: a relaxed structure of Ac2AlGePd (GGA-PBE). Values from VASP.

Volume ... 295.9 Å³ per cell
E ... -5.021 eV per atom
Magnetic moment ... 0.00 μB/f.u.
ρ ... 7.41 g cm⁻³
Energy of formation from the pure elements ... -0.67 eV per atom

```
&SYSTEM
  ibrav = 0, nat = 10, ntyp = 4
/
ATOMIC_SPECIES
Ac 227.00 Ac.upf
Al 26.98 Al.upf
Ge 72.64 Ge.upf
Pd 106.42 Pd.upf
CELL_PARAMETERS angstrom
4.473 0.000 0.000
0.000 4.473 0.000
0.000 0.000 14.789
ATOMIC_POSITIONS angstrom
Ac 1.118 1.118 1.576
Ac 1.118 1.118 9.993
Ac 3.355 3.355 4.795
Ac 3.355 3.355 13.213
Al 1.118 3.355 7.394
Al 3.355 1.118 7.394
Ge 1.118 1.118 13.090
Ge 3.355 3.355 1.698
Pd 1.118 1.118 6.068
Pd 3.355 3.355 8.720
```

=====

9.
Entry from Alexandria: a relaxed structure of Ac2AlGe4Pd3 (GGA-PBE). Values from VASP.

Volume ... 208.5 Å³ per cell
E ... -5.378 eV per atom
Magnetic moment ... 0.00 μB/f.u.
ρ ... 8.69 g cm⁻³
Energy of formation from the pure elements ... -0.78 eV per atom

```
&SYSTEM
  ibrav = 0, nat = 10, ntyp = 4
/
ATOMIC_SPECIES
Ac 227.00 Ac.upf
Al 26.98 Al.upf
Ge 72.64 Ge.upf
Pd 106.42 Pd.upf
CELL_PARAMETERS angstrom
4.380 0.000 0.000
0.000 4.380 0.000
0.000 0.000 10.867
ATOMIC_POSITIONS angstrom
Ac 0.000 2.190 2.644
Ac 2.190 0.000 8.223
Al 0.000 0.000 5.434
Ge 0.000 0.000 0.000
Ge 0.000 2.190 6.928
Ge 2.190 0.000 3.939
Ge 2.190 2.190 0.000
Pd 0.000 2.190 9.487
Pd 2.190 0.000 1.380
Pd 2.190 2.190 5.434
```

=====

10.
Entry from Alexandria: a relaxed structure of AcAlGePd6 (GGA-PBE). Values from VASP.

Volume ... 365.5 Å³ per cell
E ... -5.248 eV per atom
Magnetic moment ... 0.00 μB/f.u.
ρ ... 8.77 g cm⁻³
Energy of formation from the pure elements ... -0.40 eV per atom

```
&SYSTEM
  ibrav = 0, nat = 18, ntyp = 4
/
ATOMIC_SPECIES
Ac 227.00 Ac.upf
Al 26.98 Al.upf
Ge 72.64 Ge.upf
Pd 106.42 Pd.upf
CELL_PARAMETERS angstrom
-3.472 4.642 5.669
3.472 -4.642 5.669
3.472 4.642 -5.669
ATOMIC_POSITIONS angstrom
Ac 0.000 2.321 1.867
Ac 3.472 2.321 3.803
Al 1.736 2.321 -2.835
Al 1.736 -2.321 2.835
Ge 3.472 0.000 0.000
Ge 0.000 0.000 5.669
Pd 1.572 -0.137 1.456
Pd 5.373 -0.137 1.456
Pd 3.472 -2.321 4.535
Pd 3.472 2.321 0.795
Pd 1.572 4.505 -1.456
Pd 1.901 -0.137 4.214
Pd 1.572 4.779 1.456
Pd 1.901 0.137 7.125
Pd 0.000 2.321 4.875
Pd 0.000 6.963 1.134
Pd -1.901 4.779 4.214
Pd 1.901 4.779 4.214
```

=====

11.
Entry from Alexandria: a relaxed structure of AcAl2GePd4 (GGA-PBE). Values from VASP.

Volume ... 150.9 Å³ per cell
E ... -5.321 eV per atom
Magnetic moment ... 0.00 μB/f.u.
ρ ... 8.58 g cm⁻³
Energy of formation from the pure elements ... -0.70 eV per atom

```
&SYSTEM
  ibrav = 0, nat = 8, ntyp = 4
/
ATOMIC_SPECIES
Ac 227.00 Ac.upf
Al 26.98 Al.upf
Ge 72.64 Ge.upf
Pd 106.42 Pd.upf
CELL_PARAMETERS angstrom
2.172 1.254 9.234
-2.172 1.254 9.234
0.000 -2.508 9.234
ATOMIC_POSITIONS angstrom
Ac 0.000 0.000 0.000
Al 0.000 0.000 6.556
Al 0.000 0.000 21.147
Ge 0.000 0.000 13.852
Pd 0.000 0.000 3.762
Pd 0.000 0.000 11.293
Pd 0.000 0.000 16.410
Pd 0.000 0.000 23.941
```

=====

12.
Entry from Alexandria: a relaxed structure of Ac2Al3Ge4Pd (GGA-PBE). Values from VASP.

Volume ... 217.7 Å³ per cell
E ... -4.816 eV per atom
Magnetic moment ... 0.00 μB/f.u.
ρ ... 7.11 g cm⁻³
Energy of formation from the pure elements ... -0.51 eV per atom

```
&SYSTEM
  ibrav = 0, nat = 10, ntyp = 4
/
ATOMIC_SPECIES
Ac 227.00 Ac.upf
Al 26.98 Al.upf
Ge 72.64 Ge.upf
Pd 106.42 Pd.upf
CELL_PARAMETERS angstrom
4.675 0.000 0.000
0.000 4.675 0.000
0.000 0.000 9.963
ATOMIC_POSITIONS angstrom
Ac 0.000 2.337 2.461
Ac 2.337 0.000 7.502
Al 0.000 0.000 0.000
Al 0.000 2.337 6.137
Al 2.337 0.000 3.825
Ge 0.000 0.000 4.981
Ge 0.000 2.337 8.690
Ge 2.337 0.000 1.273
Ge 2.337 2.337 4.981
Pd 2.337 2.337 0.000
```

=====

Number 1: DOS(E_F) 1.56 states/eV per cell. Number 2: DOS(E_F) 7.24 states/eV per cell. Number 3: DOS(E_F) 4.99 states/eV per cell. Number 4: DOS(E_F) 6.30 states/eV per cell. Number 5: DOS(E_F) 2.99 states/eV per cell. Number 6: DOS(E_F) 2.24 states/eV per cell. Number 7: DOS(E_F) 4.46 states/eV per cell. Number 8: DOS(E_F) 9.51 states/eV per cell. Number 9: DOS(E_F) 3.53 states/eV per cell. Number 10: DOS(E_F) 7.19 states/eV per cell. Number 11: DOS(E_F) 5.34 states/eV per cell. Number 12: DOS(E_F) 2.64 states/eV per cell.